# SnAu3Se

A geometry-optimized SnAu3Se structure (PBE, the Alexandria database).

Energy relative to the lowest polymorph listed for this composition   293 meV/atom
N(E_F)   5.81 states/eV/cell

Cell lengths 5.2251, 5.2251, 5.2251 Å; angles 90.00, 90.00, 90.00 degrees
Last column: nearest neighbours and their distance in Å.
Fractional coordinates of all 5 atoms:
Au 0.0000 0.5000 0.0000  2 Sn 2.61
Au 0.5000 0.0000 0.0000  2 Sn 2.61
Au 0.0000 0.0000 0.5000  2 Sn 2.61
Se 0.5000 0.5000 0.5000  12 Au 3.69
Sn 0.0000 0.0000 0.0000  6 Au 2.61